w) A relaxed PPd2C crystal, computed with PBE.

Unit cell a=4.722 b=4.722 c=6.572 alpha=68.95 beta=68.95 gamma=90.00
Atoms (fractional coordinates):
C 0.500 0.500 0.000
C 0.250 0.750 0.500
P 0.000 0.000 0.000
P 0.750 0.250 0.500
Pd 0.557 0.125 0.250
Pd 0.875 0.807 0.750
Pd 0.193 0.625 0.250
Pd 0.375 0.443 0.750

Summary:
space-group type	I-42d, No. 122
spin magnetization	0.000	μB/f.u.

***

x) A relaxed PPd2C crystal, computed with PBE.

Unit cell a=4.165 b=4.165 c=4.165 alpha=60.00 beta=60.00 gamma=60.00
Atoms (fractional coordinates):
P 0.500 0.500 0.500
C 0.000 0.000 0.000
Pd 0.750 0.750 0.750
Pd 0.250 0.250 0.250

Summary:
space-group type	Fm-3m, No. 225
spin magnetization	0.000	μB/f.u.

***

w) is preferred energetically. Next in line: 35.5 kJ/mol of atoms higher.